PuNpSe2 | GGA-PBE | optimized geometry

The calculation puts the relative energy among the computed polymorphs at 0.016 eV per atom. The calculation puts the calculated total energy at -9.811 eV per atom. The density of states at the Fermi level comes out at 34.899 states/eV/cell. Its space-group type is P6_3/mmc.

The structure in POSCAR format:
```
PuNpSe2
1.0
4.0592 0.0000 0.0000
-2.0296 3.5153 0.0000
0.0000 0.0000 14.0185
Pu Np Se
2 2 4
direct
0.3333 0.6667 0.2500 Pu
0.6667 0.3333 0.7500 Pu
0.0000 0.0000 0.0000 Np
0.0000 0.0000 0.5000 Np
0.3333 0.6667 0.6212 Se
0.3333 0.6667 0.8788 Se
0.6667 0.3333 0.1212 Se
0.6667 0.3333 0.3788 Se
```

MgPd7Au12 | GGA-PBE | optimized geometry

The energy relative to the elements is -0.08 eV per atom. The calculation puts the calculated total energy at -3.947 eV per atom. The density of states at the Fermi level comes out at 8.126 states/eV/cell. Its space-group type is R-3.

The structure in POSCAR format:
```
MgPd7Au12
1.0
6.0421 3.4884 2.7858
-6.0421 3.4884 2.7858
0.0000 -6.9768 2.7858
Mg Pd Au
1 7 12
direct
0.0000 0.0000 0.0000 Mg
0.0191 0.9029 0.3222 Pd
0.0971 0.6778 0.9809 Pd
0.3222 0.0191 0.9029 Pd
0.5000 0.5000 0.5000 Pd
0.6778 0.9809 0.0971 Pd
0.9029 0.3222 0.0191 Pd
0.9809 0.0971 0.6778 Pd
0.0385 0.2996 0.4051 Au
0.2274 0.6639 0.3643 Au
0.2996 0.4051 0.0385 Au
0.3361 0.6357 0.7726 Au
0.3643 0.2274 0.6639 Au
0.4051 0.0385 0.2996 Au
0.5949 0.9615 0.7004 Au
0.6357 0.7726 0.3361 Au
0.6639 0.3643 0.2274 Au
0.7004 0.5949 0.9615 Au
0.7726 0.3361 0.6357 Au
0.9615 0.7004 0.5949 Au
```

PrY3Ni | GGA-PBE | optimized geometry

The calculation puts the relative energy among the computed polymorphs at 0.000 eV per atom. The energy relative to the elements is -0.11 eV per atom. The calculation puts the calculated total energy at -6.097 eV per atom. The density of states at the Fermi level comes out at 13.714 states/eV/cell. Its space-group type is C2/m.

The structure in POSCAR format:
```
PrY3Ni
1.0
5.8550 -4.1987 0.0000
5.8550 4.1987 0.0000
-5.4448 0.0000 6.0430
Pr Y Ni
2 6 2
direct
0.0410 0.0410 0.3203 Pr
0.9590 0.9590 0.6797 Pr
0.0596 0.4642 0.2219 Y
0.4434 0.4434 0.7372 Y
0.4642 0.0596 0.2219 Y
0.5358 0.9404 0.7781 Y
0.5566 0.5566 0.2628 Y
0.9404 0.5358 0.7781 Y
0.2622 0.2622 0.9049 Ni
0.7378 0.7378 0.0951 Ni
```

ScAg3 | GGA-PBE | optimized geometry

The energy relative to the elements is -0.07 eV per atom. The calculation puts the calculated total energy at -3.789 eV per atom. The density of states at the Fermi level comes out at 10.455 states/eV/cell. Its space-group type is Pnma.

The structure in POSCAR format:
```
ScAg3
1.0
5.6288 0.0000 0.0000
0.0000 9.3568 0.0000
0.0000 0.0000 5.8485
Sc Ag
4 12
direct
0.0430 0.2500 0.0737 Sc
0.4570 0.7500 0.5737 Sc
0.5430 0.2500 0.4263 Sc
0.9570 0.7500 0.9263 Sc
0.0697 0.2500 0.5863 Ag
0.2008 0.5027 0.3308 Ag
0.2008 0.9973 0.3308 Ag
0.2992 0.0027 0.8308 Ag
0.2992 0.4973 0.8308 Ag
0.4303 0.7500 0.0863 Ag
0.5697 0.2500 0.9137 Ag
0.7008 0.5027 0.1692 Ag
0.7008 0.9973 0.1692 Ag
0.7992 0.0027 0.6692 Ag
0.7992 0.4973 0.6692 Ag
0.9303 0.7500 0.4137 Ag
```

Rb2BaGe2 | GGA-PBE | optimized geometry

The calculation puts the relative energy among the computed polymorphs at 0.000 eV per atom. The energy relative to the elements is -0.11 eV per atom. The calculation puts the calculated total energy at -2.725 eV per atom. The density of states at the Fermi level comes out at 2.510 states/eV/cell. Its space-group type is I4/mmm.

The structure in POSCAR format:
```
Rb2BaGe2
1.0
-2.5396 2.5396 7.6869
2.5396 -2.5396 7.6869
2.5396 2.5396 -7.6869
Rb Ba Ge
2 1 2
direct
0.2500 0.7500 0.5000 Rb
0.7500 0.2500 0.5000 Rb
0.0000 0.0000 0.0000 Ba
0.4219 0.4219 0.0000 Ge
0.5781 0.5781 0.0000 Ge
```

Sr2AlInS5 | GGA-PBE | optimized geometry

The calculation puts the calculated total energy at -4.815 eV per atom. The density of states at the Fermi level comes out at 0.000 states/eV/cell. Its space-group type is Cmc2_1.

The structure in POSCAR format:
```
Sr2AlInS5
1.0
1.9420 -9.0771 0.0000
1.9420 9.0771 0.0000
0.0000 0.0000 12.1333
Sr Al In S
4 2 2 10
direct
0.1125 0.8875 0.5000 Sr
0.1201 0.8799 0.1304 Sr
0.8799 0.1201 0.6304 Sr
0.8875 0.1125 0.0000 Sr
0.4379 0.5621 0.2642 Al
0.5621 0.4379 0.7642 Al
0.2196 0.7804 0.8501 In
0.7804 0.2196 0.3501 In
0.0462 0.9538 0.8661 S
0.2845 0.7155 0.4955 S
0.3175 0.6825 0.2057 S
0.3565 0.6435 0.8190 S
0.4961 0.5039 0.1029 S
0.5039 0.4961 0.6029 S
0.6435 0.3565 0.3190 S
0.6825 0.3175 0.7057 S
0.7155 0.2845 0.9955 S
0.9538 0.0462 0.3661 S
```

What is the calculated total energy in the third record?
-6.097 eV per atom

The highest calculated total energy belongs to which entry?
Rb2BaGe2